Entry 1:
The following is a DFT calculation (PBE-GGA) of a geometry-optimized Er2CdPb5 structure.

As for the uncorrected energy: -3.772 eV/atom. The formation energy comes out at -199 meV/atom. The density of states at the Fermi level comes out at 5.5 states/eV/cell. Its space-group type is I4mm, No. 107.

Cell: 6.654 6.654 6.654 Å, 108.53 108.53 111.38°
Sites, in units of the cell vectors:
Er1 0.000 0.500 0.500
Er2 0.500 0.000 0.500
Cd1 0.000 0.000 0.000
Pb1 0.000 0.000 0.500
Pb2 0.000 0.500 0.000
Pb3 0.500 0.000 0.000
Pb4 0.500 0.500 0.500
Pb5 0.501 0.501 0.000

Entry 2:
The following is a DFT calculation (PBE-GGA) of a geometry-optimized Er2CdPb3 structure.

As for the uncorrected energy: -3.876 eV/atom. The formation energy comes out at -349 meV/atom. The value obtained for the energy relative to the lowest polymorph listed for this composition is 0.0000 eV/atom. The density of states at the Fermi level comes out at 2.6 states/eV/cell. Its space-group type is Cmmm, No. 65.

Cell: 8.078 8.078 4.645 Å, 90.00 90.00 147.66°
Sites, in units of the cell vectors:
Er1 0.152 0.848 0.000
Er2 0.848 0.152 0.000
Cd1 0.000 0.000 0.500
Pb1 0.328 0.672 0.500
Pb2 0.500 0.500 0.000
Pb3 0.672 0.328 0.500

Entry 3:
The following is a DFT calculation (PBE-GGA) of a geometry-optimized ErCd2Pb structure.

As for the uncorrected energy: -2.680 eV/atom. The formation energy comes out at -154 meV/atom. The value obtained for the energy relative to the lowest polymorph listed for this composition is 0.1396 eV/atom. The density of states at the Fermi level comes out at 2.4 states/eV/cell. Its space-group type is P4/mmm, No. 123.

Cell: 3.581 3.581 8.208 Å, 90.00 90.00 90.00°
Sites, in units of the cell vectors:
Er1 0.000 0.000 0.000
Cd1 0.500 0.500 0.243
Cd2 0.500 0.500 0.757
Pb1 0.000 0.000 0.500

Entry 4:
The following is a DFT calculation (PBE-GGA) of a geometry-optimized ErCdPb2 structure.

As for the uncorrected energy: -3.494 eV/atom. The formation energy comes out at -271 meV/atom. The density of states at the Fermi level comes out at 2.1 states/eV/cell. Its space-group type is P4/mmm, No. 123.

Cell: 4.877 4.877 4.486 Å, 90.00 90.00 90.00°
Sites, in units of the cell vectors:
Er1 0.000 0.000 0.000
Cd1 0.500 0.500 0.000
Pb1 0.000 0.500 0.500
Pb2 0.500 0.000 0.500

Entry 5:
The following is a DFT calculation (PBE-GGA) of a geometry-optimized Er5CdPb6 structure.

As for the uncorrected energy: -4.184 eV/atom. The formation energy comes out at -352 meV/atom. The density of states at the Fermi level comes out at 8.6 states/eV/cell. Its space-group type is C2/m, No. 12.

Cell: 9.145 9.145 4.887 Å, 105.38 105.38 58.21°
Sites, in units of the cell vectors:
Er1 0.000 0.000 0.000
Er2 0.170 0.170 0.670
Er3 0.356 0.356 0.355
Er4 0.644 0.644 0.645
Er5 0.830 0.830 0.330
Cd1 0.500 0.500 0.000
Pb1 0.076 0.583 0.830
Pb2 0.237 0.763 0.500
Pb3 0.417 0.924 0.170
Pb4 0.583 0.076 0.830
Pb5 0.763 0.237 0.500
Pb6 0.924 0.417 0.170

Entry 6:
The following is a DFT calculation (PBE-GGA) of a geometry-optimized ErCd2Pb structure.

As for the uncorrected energy: -2.819 eV/atom. The formation energy comes out at -294 meV/atom. The value obtained for the energy relative to the lowest polymorph listed for this composition is 0.0000 eV/atom. The density of states at the Fermi level comes out at 1.7 states/eV/cell. Its space-group type is P4/mmm, No. 123.

Cell: 4.498 4.498 4.912 Å, 90.00 90.00 90.00°
Sites, in units of the cell vectors:
Er1 0.000 0.000 0.000
Cd1 0.000 0.500 0.500
Cd2 0.500 0.000 0.500
Pb1 0.500 0.500 0.000

Entry 7:
The following is a DFT calculation (PBE-GGA) of a geometry-optimized ErCdPb2 structure.

As for the uncorrected energy: -3.363 eV/atom. The formation energy comes out at -140 meV/atom. The density of states at the Fermi level comes out at 3.0 states/eV/cell. Its space-group type is P4/mmm, No. 123.

Cell: 3.995 3.995 6.934 Å, 90.00 90.00 90.00°
Sites, in units of the cell vectors:
Er1 0.000 0.000 0.000
Cd1 0.000 0.000 0.500
Pb1 0.500 0.500 0.257
Pb2 0.500 0.500 0.743

Entry 8:
The following is a DFT calculation (PBE-GGA) of a geometry-optimized Er2CdPb structure.

As for the uncorrected energy: -3.776 eV/atom. The formation energy comes out at -339 meV/atom. The density of states at the Fermi level comes out at 9.4 states/eV/cell. Its space-group type is P2_1/m, No. 11.

Cell: 6.307 4.815 7.558 Å, 90.00 107.41 90.00°
Sites, in units of the cell vectors:
Er1 0.183 0.250 0.419
Er2 0.199 0.250 0.928
Er3 0.801 0.750 0.072
Er4 0.817 0.750 0.581
Cd1 0.321 0.750 0.210
Cd2 0.679 0.250 0.790
Pb1 0.341 0.750 0.709
Pb2 0.659 0.250 0.291

Entry 9:
The following is a DFT calculation (PBE-GGA) of a geometry-optimized Er3CdPb3 structure.

As for the uncorrected energy: -3.846 eV/atom. The formation energy comes out at -170 meV/atom. The density of states at the Fermi level comes out at 8.4 states/eV/cell. Its space-group type is P6_3/m, No. 176.

Cell: 9.237 9.237 6.166 Å, 90.00 90.00 120.00°
Sites, in units of the cell vectors:
Er1 0.041 0.368 0.250
Er2 0.327 0.959 0.250
Er3 0.368 0.327 0.750
Er4 0.632 0.673 0.250
Er5 0.673 0.041 0.750
Er6 0.959 0.632 0.750
Cd1 0.333 0.667 0.750
Cd2 0.667 0.333 0.250
Pb1 0.032 0.331 0.750
Pb2 0.299 0.968 0.750
Pb3 0.331 0.299 0.250
Pb4 0.669 0.701 0.750
Pb5 0.701 0.032 0.250
Pb6 0.968 0.669 0.250

Entry 10:
The following is a DFT calculation (PBE-GGA) of a geometry-optimized ErCdPdPb structure.

As for the uncorrected energy: -3.980 eV/atom. The formation energy comes out at -385 meV/atom. The density of states at the Fermi level comes out at 2.3 states/eV/cell. Its space-group type is F-43m, No. 216.

Cell: 5.026 5.026 5.026 Å, 60.00 60.00 60.00°
Sites, in units of the cell vectors:
Er1 0.000 0.000 0.000
Cd1 0.250 0.250 0.250
Pd1 0.750 0.750 0.750
Pb1 0.500 0.500 0.500

Entry 11:
The following is a DFT calculation (PBE-GGA) of a geometry-optimized PmErCdPb structure.

As for the uncorrected energy: -3.873 eV/atom. The formation energy comes out at -389 meV/atom. The density of states at the Fermi level comes out at 3.5 states/eV/cell. Its space-group type is F-43m, No. 216.

Cell: 5.383 5.383 5.383 Å, 60.00 60.00 60.00°
Sites, in units of the cell vectors:
Pm1 0.000 0.000 0.000
Er1 0.500 0.500 0.500
Cd1 0.750 0.750 0.750
Pb1 0.250 0.250 0.250

Entry 12:
The following is a DFT calculation (PBE-GGA) of a geometry-optimized PrErCdPb structure.

As for the uncorrected energy: -3.881 eV/atom. The formation energy comes out at -390 meV/atom. The density of states at the Fermi level comes out at 3.6 states/eV/cell. Its space-group type is F-43m, No. 216.

Cell: 5.423 5.423 5.423 Å, 60.00 60.00 60.00°
Sites, in units of the cell vectors:
Pr1 0.000 0.000 0.000
Er1 0.500 0.500 0.500
Cd1 0.750 0.750 0.750
Pb1 0.250 0.250 0.250